# Li2ScSn2 | Alexandria via LeMat-Bulk | PBE-GGA | relaxed
data_Li2ScSn2
_chemical_formula_sum 'Li2 Sc1 Sn2'
_cell_length_a 4.073
_cell_length_b 4.073
_cell_length_c 7.022
_cell_angle_alpha 73.14
_cell_angle_beta 73.14
_cell_angle_gamma 90.00
_symmetry_space_group_name_H-M 'P 1'
_symmetry_Int_Tables_number 1
loop_
_symmetry_equiv_pos_as_xyz
'x,y,z'
loop_
_atom_site_label
_atom_site_fract_x
_atom_site_fract_y
_atom_site_fract_z
Sc1 0.000 0.000 0.000
Sn1 0.392 0.392 0.215
Sn2 0.608 0.608 0.785
Li1 0.750 0.250 0.500
Li2 0.250 0.750 0.500
# * space group: I4/mmm, No. 139
# * distance to the lowest polymorph of the same formula: 3 meV per atom
# * ΔE_f: -1.91 eV per formula unit